Model P:
{
  "formula": "MgB2Te",
  "functional": "GGA-PBE",
  "state": "relaxed",
  "lattice_angstrom": [[-1.1099, -1.9497, 5.1576], [1.1829, -5.2227, -1.7198], [4.6146, -2.9526, 2.9436]],
  "species": ["Mg", "Te", "B", "B", "Mg", "Te", "B", "B"],
  "fractional_positions": [[0.2500, 0.7500, 0.5000], [0.0000, 0.0000, 0.0000], [0.8750, 0.8925, 0.7500], [0.6425, 0.1250, 0.2500], [0.5000, 0.5000, 0.0000], [0.7500, 0.2500, 0.5000], [0.3750, 0.3575, 0.7500], [0.1075, 0.6250, 0.2500]],
  "magnetic_moment_mub_per_cell": 0.00,
  "mass_density_g_cm3": 3.81,
  "n_ef_per_ev_atom": 0.161
}

***

Model Q:
{
  "formula": "MgB2Te",
  "functional": "GGA-PBE",
  "state": "relaxed",
  "lattice_angstrom": [[2.7590, -2.8580, 1.9004], [-1.5926, -3.4442, 2.2343], [0.4230, -4.0685, -1.6308]],
  "species": ["Te", "B", "B", "Mg"],
  "fractional_positions": [[0.5000, 0.5000, 0.5000], [0.7500, 0.7500, 0.7500], [0.2500, 0.2500, 0.2500], [0.0000, 0.0000, 0.0000]],
  "magnetic_moment_mub_per_cell": 0.00,
  "mass_density_g_cm3": 4.77,
  "n_ef_per_ev_atom": 0.577
}

***

Which one is most stable, and which one is least stable? model P is the most stable of them, while model Q is the least stable.

***

Model P:
{
  "formula": "MgBTe2",
  "functional": "GGA-PBE",
  "state": "relaxed",
  "lattice_angstrom": [[2.6059, 0.0000, 7.1545], [-1.3030, 2.2568, 7.1545], [-1.3030, -2.2568, 7.1545]],
  "species": ["Te", "Mg", "Te", "B"],
  "fractional_positions": [[0.9041, 0.9041, 0.9041], [0.5000, 0.5000, 0.5000], [0.0959, 0.0959, 0.0959], [0.0000, 0.0000, 0.0000]],
  "magnetic_moment_mub_per_cell": 0.00,
  "mass_density_g_cm3": 3.82,
  "n_ef_per_ev_atom": 0.487
}

***

Model Q:
{
  "formula": "MgBTe2",
  "functional": "GGA-PBE",
  "state": "relaxed",
  "lattice_angstrom": [[6.0155, 0.0000, 0.0000], [0.0000, 6.0155, 0.0000], [3.0078, 3.0078, 6.0862]],
  "species": ["Te", "Mg", "Te", "Te", "Mg", "B", "Te", "B"],
  "fractional_positions": [[0.1863, 0.6250, 0.2500], [0.0000, 0.0000, 0.0000], [0.5637, 0.1250, 0.2500], [0.8750, 0.8137, 0.7500], [0.7500, 0.2500, 0.5000], [0.2500, 0.7500, 0.5000], [0.3750, 0.4363, 0.7500], [0.5000, 0.5000, 0.0000]],
  "magnetic_moment_mub_per_cell": 0.00,
  "mass_density_g_cm3": 4.38,
  "n_ef_per_ev_atom": 0.324
}

***

Which one is most stable, and which one is least stable? model Q is the most stable of them, while model P is the least stable.

***

Model P:
{
  "formula": "MgB3Te",
  "functional": "GGA-PBE",
  "state": "relaxed",
  "lattice_angstrom": [[4.4530, 0.0000, 0.0000], [0.0000, 4.4530, 0.0000], [0.0000, 0.0000, 4.4530]],
  "species": ["B", "B", "Mg", "B", "Te"],
  "fractional_positions": [[0.0000, 0.5000, 0.0000], [0.0000, 0.0000, 0.5000], [0.0000, 0.0000, 0.0000], [0.5000, 0.0000, 0.0000], [0.5000, 0.5000, 0.5000]],
  "magnetic_moment_mub_per_cell": 0.00,
  "mass_density_g_cm3": 3.47,
  "n_ef_per_ev_atom": 0.642
}

***

Model Q:
{
  "formula": "MgB3Te",
  "functional": "GGA-PBE",
  "state": "relaxed",
  "lattice_angstrom": [[-2.2371, -2.8102, 2.6853], [3.4612, -0.0304, 2.8517], [-1.7687, 3.4949, 2.1840]],
  "species": ["B", "Te", "B", "Mg", "B"],
  "fractional_positions": [[0.0000, 0.0000, 0.5000], [0.0000, 0.0000, 0.0000], [0.0000, 0.5000, 0.0000], [0.5000, 0.5000, 0.5000], [0.5000, 0.0000, 0.0000]],
  "magnetic_moment_mub_per_cell": 0.00,
  "mass_density_g_cm3": 3.39,
  "n_ef_per_ev_atom": 0.521
}

***

Which one is most stable, and which one is least stable? model Q is the most stable of them, while model P is the least stable.

***

Model P:
{
  "formula": "MgTiB3",
  "functional": "GGA-PBE",
  "state": "relaxed",
  "lattice_angstrom": [[4.0491, 0.0000, 0.0000], [0.0000, 4.0491, 0.0000], [0.0000, 0.0000, 4.0491]],
  "species": ["B", "Mg", "B", "B", "Ti"],
  "fractional_positions": [[0.5000, 0.0000, 0.0000], [0.0000, 0.0000, 0.0000], [0.0000, 0.0000, 0.5000], [0.0000, 0.5000, 0.0000], [0.5000, 0.5000, 0.5000]],
  "magnetic_moment_mub_per_cell": 0.00,
  "mass_density_g_cm3": 2.62,
  "n_ef_per_ev_atom": 0.837
}

***

Model Q:
{
  "formula": "MgTiB3",
  "functional": "GGA-PBE",
  "state": "relaxed",
  "lattice_angstrom": [[-2.7615, -2.6792, -1.5230], [2.1256, -3.1365, 1.6636], [-2.2315, 0.3279, 3.4694]],
  "species": ["B", "B", "Ti", "B", "Mg"],
  "fractional_positions": [[0.0000, 0.5000, 0.0000], [0.0000, 0.0000, 0.5000], [0.0000, 0.0000, 0.0000], [0.5000, 0.0000, 0.0000], [0.5000, 0.5000, 0.5000]],
  "magnetic_moment_mub_per_cell": 0.00,
  "mass_density_g_cm3": 2.45,
  "n_ef_per_ev_atom": 0.667
}

***

Which one is most stable, and which one is least stable? model Q is the most stable of them, while model P is the least stable.

***

Model P:
{
  "formula": "Mg14TiB",
  "functional": "GGA-PBE",
  "state": "relaxed",
  "lattice_angstrom": [[-6.0397, -1.2701, -1.1523], [2.4360, -1.2016, 5.6604], [-2.4520, 8.9742, 2.9603]],
  "species": ["Mg", "Mg", "Mg", "Mg", "Mg", "Mg", "Mg", "Mg", "Mg", "Mg", "Mg", "Mg", "B", "Ti", "Mg", "Mg"],
  "fractional_positions": [[0.1565, 0.3129, 0.2631], [0.5040, 0.0079, 0.5000], [0.9921, 0.4960, 0.5000], [0.5040, 0.4960, 0.5000], [0.1565, 0.8435, 0.7369], [0.1565, 0.8435, 0.2631], [0.4951, 0.5049, 0.0000], [0.1565, 0.3129, 0.7369], [0.6667, 0.3333, 0.2432], [0.6667, 0.3333, 0.7568], [0.6871, 0.8435, 0.2631], [0.0097, 0.5049, 0.0000], [0.0000, 0.0000, 0.5000], [0.0000, 0.0000, 0.0000], [0.6871, 0.8435, 0.7369], [0.4951, 0.9903, 0.0000]],
  "magnetic_moment_mub_per_cell": 1.02,
  "mass_density_g_cm3": 1.99,
  "n_ef_per_ev_atom": 0.518
}

***

Model Q:
{
  "formula": "Mg14TiB",
  "functional": "GGA-PBE",
  "state": "relaxed",
  "lattice_angstrom": [[-4.8048, 4.0993, -0.7084], [-0.1888, -6.0393, -1.9707], [-3.6837, -2.7829, 8.8813]],
  "species": ["Mg", "Mg", "Mg", "Mg", "Ti", "Mg", "Mg", "Mg", "Mg", "Mg", "Mg", "Mg", "Mg", "B", "Mg", "Mg"],
  "fractional_positions": [[0.6699, 0.3301, 0.2514], [0.2004, 0.7996, 0.6789], [0.6699, 0.3301, 0.7486], [0.3172, 0.2169, 0.5000], [0.8107, 0.1893, 0.5000], [0.6724, 0.8362, 0.2572], [0.8331, 0.6747, 0.0000], [0.1638, 0.3276, 0.7428], [0.8309, 0.1691, 0.0000], [0.2004, 0.7996, 0.3211], [0.6724, 0.8362, 0.7428], [0.3232, 0.6768, 0.0000], [0.1638, 0.3276, 0.2572], [0.3635, 0.6365, 0.5000], [0.7831, 0.6828, 0.5000], [0.3253, 0.1669, 0.0000]],
  "magnetic_moment_mub_per_cell": 0.00,
  "mass_density_g_cm3": 1.97,
  "n_ef_per_ev_atom": 0.530
}

***

Which one is most stable, and which one is least stable? model Q is the most stable of them, while model P is the least stable.

***

Model P:
{
  "formula": "MgTi3B",
  "functional": "GGA-PBE",
  "state": "relaxed",
  "lattice_angstrom": [[-4.3792, -1.2891, 0.7446], [0.8035, -3.9943, -2.1895], [1.2532, -1.9437, 4.0056]],
  "species": ["Ti", "B", "Ti", "Ti", "Mg"],
  "fractional_positions": [[0.5000, 0.0000, 0.0000], [0.5000, 0.5000, 0.5000], [0.0000, 0.5000, 0.0000], [0.0000, 0.0000, 0.5000], [0.0000, 0.0000, 0.0000]],
  "magnetic_moment_mub_per_cell": 0.00,
  "mass_density_g_cm3": 3.00,
  "n_ef_per_ev_atom": 1.382
}

***

Model Q:
{
  "formula": "MgTi3B",
  "functional": "GGA-PBE",
  "state": "relaxed",
  "lattice_angstrom": [[4.3657, 0.0000, 0.0000], [0.0000, 4.3657, 0.0000], [0.0000, 0.0000, 4.3657]],
  "species": ["Ti", "Mg", "Ti", "B", "Ti"],
  "fractional_positions": [[0.0000, 0.5000, 0.0000], [0.5000, 0.5000, 0.5000], [0.5000, 0.0000, 0.0000], [0.0000, 0.0000, 0.0000], [0.0000, 0.0000, 0.5000]],
  "magnetic_moment_mub_per_cell": 0.00,
  "mass_density_g_cm3": 3.57,
  "n_ef_per_ev_atom": 0.675
}

***

Which one is most stable, and which one is least stable? model Q is the most stable of them, while model P is the least stable.